# 1
Entry from the Alexandria database: an optimized crystal structure of Na2H6IrPb (PBE).

VASP energy	-3.687	eV per atom

a = 5.0568 Å, b = 5.0568 Å, c = 6.4045 Å
α = 90.00°, β = 90.00°, γ = 120.00°
Closest atoms and distances in Å follow each position.
Sites, in units of the cell vectors:
Na (0.3333, 0.6667, 0.3734)  9 H 2.39-2.54
Na (0.6667, 0.3333, 0.6266)  9 H 2.39-2.54
H (0.1552, 0.3104, 0.6567)  1 Ir 1.69
H (0.1552, 0.8448, 0.6567)  1 Ir 1.69
H (0.3104, 0.1552, 0.3433)  1 Ir 1.69
H (0.6896, 0.8448, 0.6567)  1 Ir 1.69
H (0.8448, 0.1552, 0.3433)  1 Ir 1.69
H (0.8448, 0.6896, 0.3433)  1 Ir 1.69
Ir (0.0000, 0.0000, 0.5000)  6 H 1.69
Pb (0.0000, 0.0000, 0.0000)  6 H 2.58


# 2
Entry from the Alexandria database: an optimized crystal structure of LiZnCu4 (PBE).

formation energy from the elements	-0.034	eV/atom

a = 4.8628 Å, b = 4.8628 Å, c = 4.8628 Å
α = 60.00°, β = 60.00°, γ = 60.00°
Closest atoms and distances in Å follow each position.
Sites, in units of the cell vectors:
Li (0.0000, 0.0000, 0.0000)  12 Cu 2.85, 4 Zn 2.98
Zn (0.2500, 0.2500, 0.2500)  12 Cu 2.85, 4 Li 2.98
Cu (0.1252, 0.6249, 0.6249)  6 Cu 2.43
Cu (0.6249, 0.1252, 0.6249)  6 Cu 2.43
Cu (0.6249, 0.6249, 0.1252)  6 Cu 2.43
Cu (0.6249, 0.6249, 0.6249)  6 Cu 2.43


# 3
Entry from the Alexandria database: an optimized crystal structure of MgVCu (PBE).

formation energy from the elements	0.209	eV/atom

a = 2.7696 Å, b = 4.5421 Å, c = 7.4030 Å
α = 90.00°, β = 92.10°, γ = 90.00°
Closest atoms and distances in Å follow each position.
Sites, in units of the cell vectors:
Mg (0.0000, 0.0000, 0.0000)  4 Mg 2.77-2.97, 4 Cu 2.80-2.94, 3 V 2.88-3.04
Mg (0.3575, 0.5000, 0.7827)  2 Cu 2.64-2.73, 2 Mg 2.77, 2 V 2.91
V (0.4761, 0.0000, 0.3526)  1 V 1.95
V (0.7645, 0.0000, 0.5963)  1 V 1.95
Cu (0.0556, 0.5000, 0.4408)  4 Cu 2.53-2.77, 1 Mg 2.64, 4 V 2.64-2.68
Cu (0.5684, 0.5000, 0.1452)  4 Cu 2.53-2.77, 3 Mg 2.73-2.80, 2 V 2.76


# 4
Entry from the Alexandria database: an optimized crystal structure of DyTh2Bi2N2 (PBE).

formation energy from raw total energies	-0.875	eV per atom

a = 8.7338 Å, b = 8.7338 Å, c = 8.7338 Å
α = 150.25°, β = 150.25°, γ = 42.57°
Closest atoms and distances in Å follow each position.
Sites, in units of the cell vectors:
Dy (0.0000, 0.0000, 0.0000)  4 N 2.24
Th (0.4003, 0.4003, 0.0000)  4 N 2.77
Th (0.5997, 0.5997, 0.0000)  4 N 2.77
Bi (0.1966, 0.1966, 0.0000)  1 Dy 3.20, 5 Th 3.32-3.54
Bi (0.8034, 0.8034, 0.0000)  1 Dy 3.20, 5 Th 3.32-3.54
N (0.0000, 0.5000, 0.5000)  2 Dy 2.24
N (0.5000, 0.0000, 0.5000)  2 Dy 2.24


# 5
Entry from the Alexandria database: an optimized crystal structure of CaSnP2 (PBE).

formation energy from the elements	-0.450	eV/atom

a = 7.0949 Å, b = 7.0949 Å, c = 7.0949 Å
α = 32.24°, β = 32.24°, γ = 32.24°
Closest atoms and distances in Å follow each position.
Sites, in units of the cell vectors:
Ca (0.0000, 0.0000, 0.0000)  6 P 2.94
Sn (0.5000, 0.5000, 0.5000)  6 P 2.73
P (0.2411, 0.2411, 0.2411)  3 Sn 2.73, 3 Ca 2.94
P (0.7589, 0.7589, 0.7589)  3 Sn 2.73, 3 Ca 2.94


# 6
Entry from the Alexandria database: an optimized crystal structure of Nd2HoTm4 (PBE).

formation energy from the elements	0.080	eV/atom

a = 6.0052 Å, b = 8.4814 Å, c = 9.8454 Å
α = 82.63°, β = 72.27°, γ = 69.30°
Closest atoms and distances in Å follow each position.
Sites, in units of the cell vectors:
Nd (0.0000, 0.0000, 0.0000)  8 Tm 3.48-3.66, 2 Nd 3.55-3.56, 2 Ho 3.70
Nd (0.0613, 0.9304, 0.6397)  7 Tm 3.33-3.68, 2 Nd 3.56-3.69, 1 Ho 3.58
Nd (0.3100, 0.5006, 0.4997)  8 Tm 3.48-3.65, 2 Ho 3.56-3.57, 2 Nd 3.69-3.70
Nd (0.6308, 0.0692, 0.3596)  7 Tm 3.33-3.68, 2 Nd 3.55-3.70, 1 Ho 3.58
Ho (0.2469, 0.5674, 0.8619)  8 Tm 3.34-3.72, 3 Nd 3.57-3.70
Ho (0.6735, 0.4325, 0.1379)  8 Tm 3.34-3.72, 3 Nd 3.56-3.70
Tm (0.3252, 0.8539, 0.2740)  4 Tm 3.31-3.65, 4 Nd 3.33-3.64, 1 Ho 3.63
Tm (0.3390, 0.2174, 0.0781)  3 Ho 3.36-3.65, 4 Tm 3.42-3.68, 3 Nd 3.48-3.62
Tm (0.4561, 0.1464, 0.7248)  4 Tm 3.31-3.65, 4 Nd 3.33-3.66, 1 Ho 3.63
Tm (0.6362, 0.7823, 0.9214)  3 Ho 3.37-3.64, 4 Tm 3.42-3.68, 3 Nd 3.49-3.61
Tm (0.6737, 0.7122, 0.5782)  5 Nd 3.38-3.66, 5 Tm 3.40-3.76, 1 Ho 3.59
Tm (0.8568, 0.3578, 0.7770)  5 Tm 3.31-3.68, 2 Ho 3.34-3.46, 3 Nd 3.52-3.68
Tm (0.9637, 0.2876, 0.4213)  5 Nd 3.38-3.66, 5 Tm 3.40-3.76, 1 Ho 3.59
Tm (0.9899, 0.6418, 0.2222)  5 Tm 3.31-3.68, 2 Ho 3.34-3.45, 3 Nd 3.52-3.68


# 7
Entry from the Alexandria database: an optimized crystal structure of LaCu6Pt2 (PBE).

formation energy from the elements	0.141	eV/atom

a = 5.1338 Å, b = 5.1338 Å, c = 6.9573 Å
α = 90.00°, β = 90.00°, γ = 120.00°
Closest atoms and distances in Å follow each position.
Sites, in units of the cell vectors:
La (0.0000, 0.0000, 0.0000)  12 Cu 2.92
Cu (0.0000, 0.5000, 0.2001)  2 Pt 2.56, 5 Cu 2.57-2.78
Cu (0.0000, 0.5000, 0.7999)  2 Pt 2.56, 5 Cu 2.57-2.78
Cu (0.5000, 0.0000, 0.2001)  2 Pt 2.56, 5 Cu 2.57-2.78
Cu (0.5000, 0.0000, 0.7999)  2 Pt 2.56, 5 Cu 2.57-2.78
Cu (0.5000, 0.5000, 0.2001)  2 Pt 2.56, 5 Cu 2.57-2.78
Cu (0.5000, 0.5000, 0.7999)  2 Pt 2.56, 5 Cu 2.57-2.78
Pt (0.3333, 0.6667, 0.5000)  6 Cu 2.56
Pt (0.6667, 0.3333, 0.5000)  6 Cu 2.56


# 8
Entry from the Alexandria database: an optimized crystal structure of PmNdCu3 (PBE).

formation energy from the elements	-0.198	eV/atom

a = 13.2167 Å, b = 13.2167 Å, c = 4.3479 Å
α = 90.00°, β = 90.00°, γ = 163.68°
Closest atoms and distances in Å follow each position.
Sites, in units of the cell vectors:
Pm (0.0696, 0.9304, 0.7500)  12 Cu 3.05-3.15
Pm (0.9304, 0.0696, 0.2500)  12 Cu 3.05-3.15
Nd (0.2024, 0.7976, 0.2500)  6 Cu 2.94-3.02
Nd (0.7976, 0.2024, 0.7500)  6 Cu 2.94-3.02
Cu (0.3336, 0.6664, 0.2500)  2 Cu 2.54
Cu (0.3841, 0.6159, 0.7500)  3 Cu 2.45-2.54
Cu (0.4776, 0.5224, 0.7500)  3 Cu 2.45-2.47
Cu (0.5224, 0.4776, 0.2500)  3 Cu 2.45-2.47
Cu (0.6159, 0.3841, 0.2500)  3 Cu 2.45-2.54
Cu (0.6664, 0.3336, 0.7500)  2 Cu 2.54


# 9
Entry from the Alexandria database: an optimized crystal structure of Cr2B2Pd (PBE).

formation energy from the elements	-0.190	eV/atom

a = 5.6440 Å, b = 5.6440 Å, c = 3.0791 Å
α = 90.00°, β = 90.00°, γ = 90.00°
Closest atoms and distances in Å follow each position.
Sites, in units of the cell vectors:
Cr (0.1669, 0.3331, 0.0000)  6 B 2.22-2.35
Cr (0.3331, 0.8331, 0.0000)  6 B 2.22-2.35
Cr (0.6669, 0.1669, 0.0000)  6 B 2.22-2.35
Cr (0.8331, 0.6669, 0.0000)  6 B 2.22-2.35
B (0.1104, 0.6104, 0.5000)  1 B 1.76
B (0.3896, 0.1104, 0.5000)  1 B 1.76
B (0.6104, 0.8896, 0.5000)  1 B 1.76
B (0.8896, 0.3896, 0.5000)  1 B 1.76
Pd (0.0000, 0.0000, 0.5000)  4 B 2.29
Pd (0.5000, 0.5000, 0.5000)  4 B 2.29


# 10
Entry from the Alexandria database: an optimized crystal structure of CaBiAu (PBE).

formation energy from the elements	-0.527	eV/atom

a = 6.5391 Å, b = 6.5391 Å, c = 6.5391 Å
α = 147.58°, β = 147.58°, γ = 46.51°
Closest atoms and distances in Å follow each position.
Sites, in units of the cell vectors:
Ca (0.0000, 0.0000, 0.0000)  4 Au 3.04
Bi (0.7018, 0.7018, 0.0000)  4 Au 3.25, 5 Ca 3.54-3.58
Au (0.3664, 0.3664, 0.0000)  4 Ca 3.04, 4 Bi 3.25


Please write out number 10 again, unchanged.
Entry from the Alexandria database: an optimized crystal structure of CaBiAu (PBE).

formation energy from the elements	-0.527	eV/atom

a = 6.5391 Å, b = 6.5391 Å, c = 6.5391 Å
α = 147.58°, β = 147.58°, γ = 46.51°
Closest atoms and distances in Å follow each position.
Sites, in units of the cell vectors:
Ca (0.0000, 0.0000, 0.0000)  4 Au 3.04
Bi (0.7018, 0.7018, 0.0000)  4 Au 3.25, 5 Ca 3.54-3.58
Au (0.3664, 0.3664, 0.0000)  4 Ca 3.04, 4 Bi 3.25